Run A
A PBEsol-optimized structure of CoTcTe2, computed with meta-GGA SCAN.

Results
N(E_F) (states/eV per atom): 0.58
Size of the total moment (μB/atom): 0.33
Symmetry: P4/mmm

abc: 3.2444 3.2443 6.4438
angles: 90.00 89.97 90.00
Element x y z (fractional)
Co 0.5000 0.5000 0.0000
Te 0.0004 0.0000 0.2450
Te 0.9996 0.0000 0.7550
Tc 0.5000 0.5000 0.5000

---

Run B
A PBEsol-optimized structure of CoTcTe2, computed with meta-GGA SCAN.

Results
N(E_F) (states/eV per atom): 0.71
Size of the total moment (μB/atom): 0.43
Symmetry: R-3m

abc: 3.2892 3.2892 8.7424
angles: 79.16 79.16 60.00
Element x y z (fractional)
Te 0.9070 0.9070 0.2791
Te 0.0930 0.0930 0.7209
Co 0.0000 0.0000 0.0000
Tc 0.5000 0.5000 0.5000

---

Energetically preferred structure: run A | next structure: +85 meV per atom

---

Run A
A PBEsol-optimized structure of Tl2CoTc, computed with meta-GGA SCAN.

Results
N(E_F) (states/eV per atom): 0.60
Size of the total moment (μB/atom): 0.80
Symmetry: Imm2

abc: 2.8898 4.4633 6.1402
angles: 111.31 103.61 90.00
Element x y z (fractional)
Tl 0.0096 0.0096 0.0192
Tl 0.7893 0.2893 0.5786
Tc 0.1895 0.6895 0.3790
Co 0.5116 0.5116 0.0232

---

Run B
A PBEsol-optimized structure of Tl2CoTc, computed with meta-GGA SCAN.

Results
N(E_F) (states/eV per atom): 0.73
Size of the total moment (μB/atom): 0.56
Symmetry: P4mm

abc: 2.9336 2.9336 8.4609
angles: 90.00 90.00 90.00
Element x y z (fractional)
Co 0.0000 0.0000 0.5432
Tc 0.5000 0.5000 0.6971
Tl 0.0000 0.0000 0.9566
Tl 0.5000 0.5000 0.3032

---

Energetically preferred structure: run B | next structure: +185 meV per atom

---

Run A
A PBEsol-optimized structure of CoTcW2, computed with meta-GGA SCAN.

Results
N(E_F) (states/eV per atom): 0.61
Size of the total moment (μB/atom): 0.00
Symmetry: Cmmm

abc: 2.6675 2.6675 8.1003
angles: 90.00 90.00 105.41
Element x y z (fractional)
Tc 0.5000 0.5000 0.0000
Co 0.5000 0.5000 0.5000
W 0.0000 0.0000 0.7325
W 0.0000 0.0000 0.2675

---

Run B
A PBEsol-optimized structure of CoTcW2, computed with meta-GGA SCAN.

Results
N(E_F) (states/eV per atom): 1.06
Size of the total moment (μB/atom): 0.00
Symmetry: P4/mmm

abc: 3.8652 3.7090 3.8641
angles: 90.00 90.00 90.00
Element x y z (fractional)
W 0.5000 0.0000 0.5000
W 0.0000 0.0000 0.0000
Tc 0.0000 0.5000 0.5000
Co 0.5000 0.5000 0.0000

---

Energetically preferred structure: run A | next structure: +16 meV per atom

---

Run A
A PBEsol-optimized structure of CoTcW, computed with meta-GGA SCAN.

Results
N(E_F) (states/eV per atom): 0.84
Size of the total moment (μB/atom): 0.70
Symmetry: F-43m

abc: 4.0874 4.0874 4.0874
angles: 60.00 60.00 60.00
Element x y z (fractional)
Co 0.5000 0.5000 0.5000
W 0.0000 0.0000 0.0000
Tc 0.2500 0.2500 0.2500

---

Run B
A PBEsol-optimized structure of CoTcW, computed with meta-GGA SCAN.

Results
N(E_F) (states/eV per atom): 0.76
Size of the total moment (μB/atom): 0.64
Symmetry: I4mm

abc: 3.1142 3.1142 4.7348
angles: 109.20 109.20 90.00
Element x y z (fractional)
Tc 0.6687 0.6687 0.3374
W 0.3356 0.3356 0.6711
Co 0.9957 0.9957 0.9915

---

Energetically preferred structure: run B | next structure: +798 meV per atom

---

Run A
A PBEsol-optimized structure of YCoTc, computed with meta-GGA SCAN.

Results
N(E_F) (states/eV per atom): 0.72
Size of the total moment (μB/atom): 1.12
Symmetry: F-43m

abc: 4.3339 4.3339 4.3339
angles: 60.00 60.00 60.00
Element x y z (fractional)
Tc 0.5000 0.5000 0.5000
Co 0.0000 0.0000 0.0000
Y 0.7500 0.7500 0.7500

---

Run B
A PBEsol-optimized structure of YCoTc, computed with meta-GGA SCAN.

Results
N(E_F) (states/eV per atom): 0.70
Size of the total moment (μB/atom): 0.00
Symmetry: P-6m2

abc: 3.8975 3.8975 4.1929
angles: 90.00 90.00 120.00
Element x y z (fractional)
Tc 0.3333 0.6667 0.0000
Co 0.0000 0.0000 0.0000
Y 0.6667 0.3333 0.5000

---

Energetically preferred structure: run B | next structure: +1411 meV per atom

---

Run A
A PBEsol-optimized structure of ZrCoTc2, computed with meta-GGA SCAN.

Results
N(E_F) (states/eV per atom): 1.18
Size of the total moment (μB/atom): 0.00
Symmetry: I4/mmm

abc: 3.7630 3.7630 4.9055
angles: 112.55 112.55 90.00
Element x y z (fractional)
Tc 0.2500 0.7500 0.5000
Tc 0.7500 0.2500 0.5000
Co 0.0000 0.0000 0.0000
Zr 0.5000 0.5000 0.0000

---

Run B
A PBEsol-optimized structure of ZrCoTc2, computed with meta-GGA SCAN.

Results
N(E_F) (states/eV per atom): 0.76
Size of the total moment (μB/atom): 0.47
Symmetry: C2/m

abc: 2.7103 4.9652 5.1231
angles: 116.11 100.54 99.69
Element x y z (fractional)
Tc 0.5000 0.5000 0.5000
Tc 0.0000 0.0000 0.5000
Zr 0.5000 0.0000 0.0000
Co 0.0000 0.5000 0.0000

---

Energetically preferred structure: run B | next structure: +128 meV per atom

---

Run A
A PBEsol-optimized structure of Co2Te, computed with meta-GGA SCAN.

Results
N(E_F) (states/eV per atom): 0.80
Size of the total moment (μB/atom): 1.11
Symmetry: P6/mmm

abc: 3.4135 3.8996 3.8996
angles: 120.00 90.00 90.00
Element x y z (fractional)
Te 0.0000 0.0000 0.0000
Co 0.5000 0.6667 0.3333
Co 0.5000 0.3333 0.6667

---

Run B
A PBEsol-optimized structure of Co2Te, computed with meta-GGA SCAN.

Results
N(E_F) (states/eV per atom): 0.80
Size of the total moment (μB/atom): 0.99
Symmetry: I4/mcm

abc: 4.8438 5.0722 4.8438
angles: 118.52 90.00 118.52
Element x y z (fractional)
Co 0.1753 0.0000 0.3247
Co 0.8247 0.0000 0.6753
Co 0.6753 0.0000 0.1753
Co 0.3247 0.0000 0.8247
Te 0.7500 0.5000 0.7500
Te 0.2500 0.5000 0.2500

---

Energetically preferred structure: run B | next structure: +121 meV per atom

---

Run A
A PBEsol-optimized structure of Tl2CoTe, computed with meta-GGA SCAN.

Results
N(E_F) (states/eV per atom): 0.45
Size of the total moment (μB/atom): 0.32
Symmetry: Amm2

abc: 3.3173 4.2951 6.8085
angles: 108.39 90.00 90.00
Element x y z (fractional)
Tl 0.5000 0.3920 0.7841
Tl 0.0000 0.0626 0.1252
Te 0.5000 0.7078 0.4155
Co 0.0000 0.8527 0.7055

---

Run B
A PBEsol-optimized structure of Tl2CoTe, computed with meta-GGA SCAN.

Results
N(E_F) (states/eV per atom): 0.62
Size of the total moment (μB/atom): 0.00
Symmetry: Cm

abc: 3.7802 3.7639 7.9964
angles: 103.71 90.00 120.14
Element x y z (fractional)
Co 0.4934 0.9869 0.4809
Te 0.7777 0.5555 0.3337
Tl 0.9989 0.9978 0.9963
Tl 0.2299 0.4599 0.6890

---

Energetically preferred structure: run B | next structure: +39 meV per atom